Density functional theory data (PBE-GGA) for BaBeTlC2 after structural relaxation.

## Properties
Spin magnetization, μB per atom: 0.48
Space-group type: P4/mmm
Total DFT energy (no corrections), eV/atom: -2.574
Density of states at the Fermi level, states/eV/f.u.: 3.451
Formation energy from the elements, eV/atom: 2.72

Cell lengths 5.019, 5.892, 5.019 Å; angles 90.00, 90.00, 90.00 degrees
Each line ends with the local moment (μB).
Fractional positions:
C1 0.000 0.000 0.500  0.61
C2 0.500 0.000 0.000  0.53
Be1 0.000 0.500 0.000  -0.02
Tl1 0.500 0.500 0.500  -0.01
Ba1 0.000 0.000 0.000  0.07